(1)
# CeErOs4 PBE relaxed
data_CeErOs4
_symmetry_space_group_name_H-M 'F -4 3 m'
_symmetry_Int_Tables_number 216
_symmetry_space_group_name_Hall 'F -4 2 3'
_cell_length_a 7.597
_cell_length_b 7.597
_cell_length_c 7.597
_cell_angle_alpha 90.00
_cell_angle_beta 90.00
_cell_angle_gamma 90.00
loop_
_atom_site_label
_atom_site_fract_x
_atom_site_fract_y
_atom_site_fract_z
Ce1 0.000 0.000 0.000
Er1 0.250 0.250 0.250
Os1 0.125 0.125 0.625
# **Magnetic moment**: 0.000 Bohr magnetons per cell


(2)
# CeEr2Os PBE relaxed
data_CeEr2Os
_symmetry_space_group_name_H-M 'P 4/m m m'
_symmetry_Int_Tables_number 123
_symmetry_space_group_name_Hall '-P 4 2'
_cell_length_a 3.377
_cell_length_b 3.377
_cell_length_c 9.111
_cell_angle_alpha 90.00
_cell_angle_beta 90.00
_cell_angle_gamma 90.00
loop_
_atom_site_label
_atom_site_fract_x
_atom_site_fract_y
_atom_site_fract_z
Ce1 0.000 0.000 0.000
Er1 0.500 0.500 0.320
Os1 0.000 0.000 0.500
# **Magnetic moment**: 1.336 Bohr magnetons per cell


(3)
# CeEr2Os2 PBE relaxed
data_CeEr2Os2
_symmetry_space_group_name_H-M 'I m m m'
_symmetry_Int_Tables_number 71
_symmetry_space_group_name_Hall '-I 2 2'
_cell_length_a 4.323
_cell_length_b 5.855
_cell_length_c 8.885
_cell_angle_alpha 90.00
_cell_angle_beta 90.00
_cell_angle_gamma 90.00
loop_
_atom_site_label
_atom_site_fract_x
_atom_site_fract_y
_atom_site_fract_z
Ce1 0.000 0.000 0.000
Er1 0.000 0.500 0.195
Os1 0.000 0.228 0.500
# **Magnetic moment**: 0.000 Bohr magnetons per cell


(4)
# Ce5ErOs4 PBE relaxed
data_Ce5ErOs4
_symmetry_space_group_name_H-M 'C 1 2/m 1'
_symmetry_Int_Tables_number 12
_cell_length_a 14.614
_cell_length_b 4.854
_cell_length_c 6.777
_cell_angle_alpha 90.00
_cell_angle_beta 97.80
_cell_angle_gamma 90.00
loop_
_symmetry_equiv_pos_as_xyz
'x,y,z'
'-x,-y,-z'
'-x,y,-z'
'x,-y,z'
'x+1/2,y+1/2,z'
'-x+1/2,-y+1/2,-z'
'-x+1/2,y+1/2,-z'
'x+1/2,-y+1/2,z'
loop_
_atom_site_label
_atom_site_fract_x
_atom_site_fract_y
_atom_site_fract_z
Ce1 0.000 0.000 0.000
Ce2 0.165 0.500 0.539
Ce3 0.173 0.500 0.026
Er1 0.000 0.000 0.500
Os1 0.002 0.500 0.241
Os2 0.162 0.000 0.267
# **Magnetic moment**: 2.883 Bohr magnetons per cell


no.,DFT formation energy (meV per atom)
1,-263
2,-110
3,-300
4,-151